[1]
This record from Alexandria via LeMat-Bulk describes InSeBrN2 at its PBEsol-relaxed geometry. The functional is meta-GGA SCAN.

Structure (POSCAR):
```
InSeBrN2
1.0
3.9695 0.0000 0.0000
0.0000 3.9695 0.0000
0.0000 0.0000 5.3460
In Se Br N
1 1 1 2
direct
0.0000 0.0000 0.0000
0.5000 0.5000 0.0000
0.5000 0.5000 0.5000
0.0000 0.5000 0.5000
0.5000 0.0000 0.5000
```

total DFT energy (no corrections) = -16.43 eV/atom

=====

[2]
This record from Alexandria via LeMat-Bulk describes InSeBr2N at its PBEsol-relaxed geometry. The functional is meta-GGA SCAN.

Structure (POSCAR):
```
InSeBr2N
1.0
5.4292 0.0000 0.0000
0.0000 5.4292 0.0000
0.0000 0.0000 5.2633
In Se Br N
1 1 2 1
direct
0.0000 0.0000 0.0000
0.0000 0.0000 0.5000
0.0000 0.5000 0.0000
0.5000 0.0000 0.0000
0.5000 0.5000 0.5000
```

total DFT energy (no corrections) = -19.59 eV/atom

=====

[3]
This record from Alexandria via LeMat-Bulk describes NaInTcBr2 at its PBEsol-relaxed geometry. The functional is meta-GGA SCAN.

Structure (POSCAR):
```
NaInTcBr2
1.0
5.6629 0.0000 0.0000
0.0000 5.6629 0.0000
0.0000 0.0000 5.8838
Na In Tc Br
1 1 1 2
direct
0.0000 0.0000 0.0000
0.0000 0.0000 0.5000
0.5000 0.5000 0.0000
0.0000 0.5000 0.5000
0.5000 0.0000 0.5000
```

total DFT energy (no corrections) = -21.62 eV/atom

=====

[4]
This record from Alexandria via LeMat-Bulk describes NbInSeBr2 at its PBEsol-relaxed geometry. The functional is meta-GGA SCAN.

Structure (POSCAR):
```
NbInSeBr2
1.0
5.2045 0.0000 0.0000
0.0000 5.2045 0.0000
0.0000 0.0000 4.9904
Nb In Se Br
1 1 1 2
direct
0.0000 0.0000 0.0000
0.5000 0.5000 0.5000
0.0000 0.0000 0.5000
0.0000 0.5000 0.0000
0.5000 0.0000 0.0000
```

total DFT energy (no corrections) = -25.61 eV/atom

=====

| no. | Fermi-level density of states (states/eV per cell) |
| --- | --- |
| 1 | 2.37 |
| 2 | 3.25 |
| 3 | 3.91 |
| 4 | 1.38 |